# 1
ErAg3Te3 after structural relaxation, computed with PBE.

## Properties
For the uncorrected formation energy, the calculation gives -0.531 eV/atom. As for the symmetry: R-3, No. 148. Its total energy is -3.751 eV per atom.

a = 8.6165 Å, b = 8.6165 Å, c = 8.6165 Å
α = 54.10°, β = 54.10°, γ = 54.10°
With the nearest neighbours (Å) after each atom.
Fractional positions:
1 Er 0.1684 0.1684 0.1684  6 Te 3.08-3.11
2 Er 0.8316 0.8316 0.8316  6 Te 3.08-3.11
3 Ag 0.0110 0.7224 0.3777  4 Te 2.81-2.98, 2 Ag 3.05
4 Ag 0.2776 0.6223 0.9890  4 Te 2.81-2.98, 2 Ag 3.05
5 Ag 0.3777 0.0110 0.7224  4 Te 2.81-2.98, 2 Ag 3.05
6 Ag 0.6223 0.9890 0.2776  4 Te 2.81-2.98, 2 Ag 3.05
7 Ag 0.7224 0.3777 0.0110  4 Te 2.81-2.98, 2 Ag 3.05
8 Ag 0.9890 0.2776 0.6223  4 Te 2.81-2.98, 2 Ag 3.05
9 Te 0.1039 0.4262 0.7519  4 Ag 2.81-2.98, 2 Er 3.08-3.11
10 Te 0.2481 0.8961 0.5738  4 Ag 2.81-2.98, 2 Er 3.08-3.11
11 Te 0.4262 0.7519 0.1039  4 Ag 2.81-2.98, 2 Er 3.08-3.11
12 Te 0.5738 0.2481 0.8961  4 Ag 2.81-2.98, 2 Er 3.08-3.11
13 Te 0.7519 0.1039 0.4262  4 Ag 2.81-2.98, 2 Er 3.08-3.11
14 Te 0.8961 0.5738 0.2481  4 Ag 2.81-2.98, 2 Er 3.08-3.11

---

# 2
Er5Zn2 after structural relaxation, computed with PBE.

## Properties
Its density of states at the Fermi level is 0.65 states/eV per atom. As for the symmetry: C2/c, No. 15. Its total energy is -3.768 eV per atom.

a = 8.6763 Å, b = 8.6763 Å, c = 6.6351 Å
α = 90.81°, β = 90.81°, γ = 47.19°
With the nearest neighbours (Å) after each atom.
Fractional positions:
1 Er 0.0010 0.9990 0.7500  4 Zn 2.93-3.00
2 Er 0.2038 0.2486 0.7606  2 Zn 2.91-3.04
3 Er 0.2486 0.2038 0.2606  2 Zn 2.91-3.04
4 Er 0.2672 0.5470 0.4986  1 Zn 2.78
5 Er 0.4530 0.7328 0.0014  1 Zn 2.78
6 Er 0.5470 0.2672 0.9986  1 Zn 2.78
7 Er 0.7328 0.4530 0.5014  1 Zn 2.78
8 Er 0.7514 0.7962 0.7394  2 Zn 2.91-3.04
9 Er 0.7962 0.7514 0.2394  2 Zn 2.91-3.04
10 Er 0.9990 0.0010 0.2500  4 Zn 2.93-3.00
11 Zn 0.1289 0.6450 0.9871  5 Er 2.78-3.04
12 Zn 0.3550 0.8711 0.5129  5 Er 2.78-3.04
13 Zn 0.6450 0.1289 0.4871  5 Er 2.78-3.04
14 Zn 0.8711 0.3550 0.0129  5 Er 2.78-3.04

---

# 3
Be2ReHg after structural relaxation, computed with PBE.

## Properties
Its density of states at the Fermi level is 0.99 states/eV per atom. As for the symmetry: R-3m, No. 166. Its total energy is -4.573 eV per atom.

a = 8.4622 Å, b = 8.4622 Å, c = 8.4622 Å
α = 19.17°, β = 19.17°, γ = 19.17°
With the nearest neighbours (Å) after each atom.
Fractional positions:
1 Be 0.2408 0.2408 0.2408  3 Re 2.46
2 Be 0.7592 0.7592 0.7592  3 Re 2.46
3 Re 0.5000 0.5000 0.5000  6 Be 2.46
4 Hg 0.0000 0.0000 0.0000  6 Hg 2.82, 6 Be 2.82

---

# 4
Y4MgCd after structural relaxation, computed with PBE.

## Properties
Its density of states at the Fermi level is 1.44 states/eV per atom. As for the symmetry: P4/mmm, No. 123. The calculation puts the energy above the most stable polymorph in this dataset at 0.1651 eV per atom. Its total energy is -4.501 eV per atom.

a = 5.1661 Å, b = 5.1661 Å, c = 7.4533 Å
α = 90.00°, β = 90.00°, γ = 90.00°
With the nearest neighbours (Å) after each atom.
Fractional positions:
1 Y 0.0000 0.5000 0.2429  2 Cd 3.15, 2 Mg 3.22
2 Y 0.0000 0.5000 0.7571  2 Cd 3.15, 2 Mg 3.22
3 Y 0.5000 0.0000 0.2429  2 Cd 3.15, 2 Mg 3.22
4 Y 0.5000 0.0000 0.7571  2 Cd 3.15, 2 Mg 3.22
5 Mg 0.0000 0.0000 0.5000  8 Y 3.22
6 Cd 0.5000 0.5000 0.0000  8 Y 3.15

---

# 5
ZnCo3Re after structural relaxation, computed with PBE.

## Properties
Its density of states at the Fermi level is 0.92 states/eV per atom. As for the symmetry: Pm-3m, No. 221. Its total energy is -5.486 eV per atom.

a = 4.1867 Å, b = 4.1867 Å, c = 4.1867 Å
α = 90.00°, β = 90.00°, γ = 90.00°
With the nearest neighbours (Å) after each atom.
Fractional positions:
1 Zn 0.0000 0.0000 0.0000  6 Co 2.09
2 Co 0.0000 0.0000 0.5000  2 Zn 2.09
3 Co 0.0000 0.5000 0.0000  2 Zn 2.09
4 Co 0.5000 0.0000 0.0000  2 Zn 2.09
5 Re 0.5000 0.5000 0.5000  12 Co 2.96

---

# 6
Ho2ErTmTl2 after structural relaxation, computed with PBE.

## Properties
Its density of states at the Fermi level is 0.98 states/eV per atom. As for the symmetry: Pmc2_1, No. 26. Its total energy is -4.082 eV per atom.

a = 5.0473 Å, b = 9.8919 Å, c = 6.7805 Å
α = 90.00°, β = 90.00°, γ = 90.00°
With the nearest neighbours (Å) after each atom.
Fractional positions:
1 Ho 0.0000 0.0421 0.0000  5 Tl 3.19-3.50, 4 Ho 3.48-3.49
2 Ho 0.0000 0.9579 0.5000  5 Tl 3.19-3.50, 4 Ho 3.48-3.49
3 Ho 0.5000 0.1881 0.2827  4 Tl 3.19-3.20, 2 Ho 3.48
4 Ho 0.5000 0.8119 0.7827  4 Tl 3.19-3.20, 2 Ho 3.48
5 Er 0.5000 0.4582 0.9074  5 Tl 3.19-3.47, 2 Tm 3.49, 2 Er 3.49
6 Er 0.5000 0.5418 0.4074  5 Tl 3.19-3.47, 2 Tm 3.49, 2 Er 3.49
7 Tm 0.0000 0.3120 0.6242  4 Tl 3.17-3.18, 2 Er 3.49
8 Tm 0.0000 0.6880 0.1242  4 Tl 3.17-3.18, 2 Er 3.49
9 Tl 0.0000 0.3688 0.1626  2 Tm 3.17-3.18, 4 Er 3.19-3.47, 3 Ho 3.20-3.41
10 Tl 0.0000 0.6312 0.6626  2 Tm 3.17-3.18, 4 Er 3.19-3.47, 3 Ho 3.20-3.41
11 Tl 0.5000 0.1349 0.7466  2 Tm 3.18, 6 Ho 3.19-3.50, 1 Er 3.38
12 Tl 0.5000 0.8651 0.2466  2 Tm 3.18, 6 Ho 3.19-3.50, 1 Er 3.38